# NaSb2Cl8

A relaxed NaSb2Cl8 crystal (PBE, the Alexandria database).

## Properties
- DOS at the Fermi energy: 0.68 states/eV per atom
- Relative energy among the computed polymorphs: 0.000 eV/f.u.
- ρ: 2177 kg/m³

Lattice parameters (Å, degrees): 7.572 7.412 8.697 89.92 89.99 120.74
Fractional positions:
Cl 0.918 0.835 0.305
Cl 0.374 0.283 0.171
Sb 0.868 0.736 0.639
Cl 0.091 0.717 0.829
Sb 0.132 0.264 0.361
Na 0.000 0.000 0.000
Cl 0.909 0.283 0.171
Cl 0.082 0.165 0.695
Cl 0.626 0.717 0.829
Cl 0.317 0.634 0.424
Cl 0.683 0.366 0.576